Material: ErPuMnRh
Method: DFT, PBE
State: relaxed

```
4
Lattice="-2.833 -2.705 -2.795 -0.814 -4.604 1.138 -4.340 -1.359 1.572" Properties=species:S:1:pos:R:3 pbc="T T T"
Rh 0.000 0.000 0.000
Pu -1.997 -2.167 -0.021
Er -5.990 -6.500 -0.063
Mn -3.993 -4.334 -0.042
```

Formation enthalpy at 0 K, eV per atom: -0.272

---

Material: ErPuMnTc
Method: DFT, PBE
State: relaxed

```
4
Lattice="4.785 0.000 0.000 2.392 4.144 0.000 2.392 1.381 3.907" Properties=species:S:1:pos:R:3 pbc="T T T"
Er 7.177 4.144 2.930
Pu 2.392 1.381 0.977
Tc 0.000 0.000 0.000
Mn 4.785 2.762 1.953
```

Formation enthalpy at 0 K, eV per atom: 0.048

---

Material: Rb2Er2MnS6
Method: DFT, PBE
State: relaxed

```
11
Lattice="6.596 0.017 0.037 -3.245 5.743 0.037 -1.219 -2.095 7.806" Properties=species:S:1:pos:R:3 pbc="T T T"
S 1.737 2.985 5.344
S 1.366 -1.046 5.323
S 0.396 0.680 2.537
S 3.717 2.995 2.557
S 0.766 4.711 2.557
S -1.585 0.670 5.323
Rb 4.898 1.005 0.037
Rb -1.547 4.755 0.037
Er -0.579 2.790 3.940
Er 2.711 0.875 3.940
Mn -0.609 -1.048 3.903
```

E_form (uncorrected), eV/atom: -1.434

---

no.,calculated total energy (eV per atom)
1,-9.13
2,-9.56
3,-5.52